No. 1
Density functional theory data (GGA-PBE) for a relaxed Ac3USe7 crystal.

abc: 8.7018 8.7018 10.3298
angles: 90.00 90.00 110.58
Closest atoms and distances in Å follow each position.
Positions (direct):
Ac1 0.5001 0.5001 0.5000  8 Se 3.16-3.42
Ac2 0.4999 0.4999 0.0000  8 Se 3.16-3.42
Ac3 0.5478 0.9971 0.2501  7 Se 3.04-3.22
Ac4 0.4522 0.0029 0.7501  7 Se 3.04-3.22
Ac5 0.9971 0.5478 0.7499  7 Se 3.04-3.22
Ac6 0.0029 0.4522 0.2499  7 Se 3.04-3.22
U1 0.0001 0.0001 0.5000  6 Se 2.75-2.76
U2 0.9999 0.9999 0.0000  6 Se 2.75-2.76
Se1 0.6672 0.9182 0.5296  1 U 2.75
Se2 0.3328 0.0818 0.0296  1 U 2.75
Se3 0.9182 0.6672 0.4704  1 U 2.75
Se4 0.0818 0.3328 0.9704  1 U 2.75
Se5 0.0819 0.3330 0.5294  1 U 2.75
Se6 0.9181 0.6670 0.0294  1 U 2.75
Se7 0.3330 0.0819 0.4706  1 U 2.75
Se8 0.6670 0.9181 0.9706  1 U 2.75
Se9 0.3731 0.6269 0.2500  4 Ac 3.04-3.16
Se10 0.6269 0.3731 0.7500  4 Ac 3.04-3.16
Se11 0.6329 0.3671 0.2500  4 Ac 3.04-3.21
Se12 0.3671 0.6329 0.7500  4 Ac 3.04-3.21
Se13 0.9312 0.0688 0.2500  2 U 2.76
Se14 0.0688 0.9312 0.7500  2 U 2.76

Calculated values
VASP energy = -0.2232 Ha/atom
space group = No. 63

---

No. 2
Density functional theory data (GGA-PBE) for a relaxed CrMo2Os crystal.

abc: 4.3564 4.3564 4.3564
angles: 60.00 60.00 60.00
Closest atoms and distances in Å follow each position.
Positions (direct):
Cr1 0.0000 0.0000 0.0000  8 Mo 2.67
Mo1 0.2500 0.2500 0.2500  4 Os 2.67, 4 Cr 2.67
Mo2 0.7500 0.7500 0.7500  4 Cr 2.67, 4 Os 2.67
Os1 0.5000 0.5000 0.5000  8 Mo 2.67

Calculated values
VASP energy = -0.3844 Ha/atom
space group = No. 225
energy of formation = 16.35 kJ/mol of atoms
distance to the lowest polymorph of the same formula = 52.5 meV/atom

---

No. 3
Density functional theory data (GGA-PBE) for a relaxed PmZn4Ga2 crystal.

abc: 4.1202 4.1558 7.6104
angles: 105.85 90.00 90.00
Closest atoms and distances in Å follow each position.
Positions (direct):
Pm1 0.0000 0.0000 0.0000  8 Ga 3.18, 8 Zn 3.42-3.49
Zn1 0.5000 0.8137 0.6274  2 Ga 2.55, 4 Zn 2.73-2.79
Zn2 0.0000 0.6913 0.3825  2 Ga 2.58, 4 Zn 2.70-2.73
Zn3 0.5000 0.1863 0.3726  2 Ga 2.55, 4 Zn 2.73-2.79
Zn4 0.0000 0.3087 0.6175  2 Ga 2.58, 4 Zn 2.70-2.73
Ga1 0.5000 0.5849 0.1698  1 Ga 2.49, 4 Zn 2.55-2.58
Ga2 0.5000 0.4151 0.8302  1 Ga 2.49, 4 Zn 2.55-2.58

Calculated values
VASP energy = -0.0950 Ha/atom
space group = No. 65
energy of formation = -30.17 kJ/mol of atoms

---

No. 4
Density functional theory data (GGA-PBE) for a relaxed TbInCuRh crystal.

abc: 4.7369 4.7369 4.7369
angles: 60.00 60.00 60.00
Closest atoms and distances in Å follow each position.
Positions (direct):
Rh1 0.2500 0.2500 0.2500  4 In 2.90, 4 Tb 2.90
Tb1 0.0000 0.0000 0.0000  4 Cu 2.90, 4 Rh 2.90
Cu1 0.7500 0.7500 0.7500  4 Tb 2.90, 4 In 2.90
In1 0.5000 0.5000 0.5000  4 Cu 2.90, 4 Rh 2.90

Calculated values
VASP energy = -0.1896 Ha/atom
space group = No. 216
energy of formation = -43.87 kJ/mol of atoms

---

No. 5
Density functional theory data (GGA-PBE) for a relaxed Ti4VGa5 crystal.

abc: 5.1804 6.3439 6.3439
angles: 80.40 65.90 65.90
Closest atoms and distances in Å follow each position.
Positions (direct):
Ti1 0.4067 0.3980 0.7904  6 Ga 2.59-2.62
Ti2 0.8046 0.7904 0.6020  6 Ga 2.59-2.62
Ti3 0.1970 0.2096 0.3980  6 Ga 2.59-2.62
Ti4 0.5950 0.6020 0.2096  6 Ga 2.59-2.62
V1 0.0018 0.0000 0.0000  6 Ga 2.51-2.59
Ga1 0.9007 0.3902 0.8102  1 V 2.51, 5 Ti 2.59-2.62
Ga2 0.2909 0.8102 0.6098  1 V 2.51, 5 Ti 2.59-2.62
Ga3 0.7109 0.1898 0.3902  1 V 2.51, 5 Ti 2.59-2.62
Ga4 0.1010 0.6098 0.1898  1 V 2.51, 5 Ti 2.59-2.62
Ga5 0.5017 0.0000 0.0000  2 V 2.59, 4 Ti 2.60

Calculated values
VASP energy = -0.2062 Ha/atom
space group = No. 87
energy of formation = -2.57 kJ/mol of atoms
distance to the lowest polymorph of the same formula = 381.1 meV/atom

---

No. 6
Density functional theory data (GGA-PBE) for a relaxed Ba2InHg8 crystal.

abc: 4.9911 4.9911 13.8491
angles: 90.00 90.00 90.00
Closest atoms and distances in Å follow each position.
Positions (direct):
Ba1 0.0000 0.0000 0.3119  12 Hg 3.56-3.61
Ba2 0.0000 0.0000 0.6881  12 Hg 3.56-3.61
In1 0.0000 0.0000 0.0000  8 Hg 3.05
Hg1 0.0000 0.5000 0.5000  4 Hg 3.53, 4 Ba 3.61
Hg2 0.5000 0.0000 0.5000  4 Hg 3.53, 4 Ba 3.61
Hg3 0.5000 0.5000 0.2766  4 Hg 3.25, 4 Ba 3.56
Hg4 0.5000 0.5000 0.7234  4 Hg 3.25, 4 Ba 3.56
Hg5 0.0000 0.5000 0.1268  2 In 3.05, 2 Hg 3.25
Hg6 0.5000 0.0000 0.1268  2 In 3.05, 2 Hg 3.25
Hg7 0.0000 0.5000 0.8732  2 In 3.05, 2 Hg 3.25
Hg8 0.5000 0.0000 0.8732  2 In 3.05, 2 Hg 3.25

Calculated values
VASP energy = -0.0408 Ha/atom
space group = No. 123
energy of formation = -28.21 kJ/mol of atoms

---

Number 1: M_tot 1.000 μB per formula unit, DOS(E_F) 2.7 states/eV per cell, density 6.67 g/cm3. Number 2: M_tot 0.000 μB per formula unit, DOS(E_F) 4.1 states/eV per cell, density 12.33 g/cm3. Number 3: M_tot 0.000 μB per formula unit, DOS(E_F) 2.0 states/eV per cell, density 7.23 g/cm3. Number 4: M_tot 0.000 μB per formula unit, DOS(E_F) 3.2 states/eV per cell, density 9.73 g/cm3. Number 5: M_tot 0.000 μB per formula unit, DOS(E_F) 9.1 states/eV per cell, density 5.65 g/cm3. Number 6: M_tot 0.000 μB per formula unit, DOS(E_F) 6.9 states/eV per cell, density 9.60 g/cm3.